Nd3Np2UN6 | PBE-GGA | relaxed

The structure in CIF format:
```
data_Nd3Np2UN6
_symmetry_space_group_name_H-M 'C 1 2/m 1'
_symmetry_Int_Tables_number 12
_symmetry_space_group_name_Hall '-C 2y'
_cell_length_a 6.0945
_cell_length_b 10.5559
_cell_length_c 6.1650
_cell_angle_alpha 90.00
_cell_angle_beta 109.22
_cell_angle_gamma 90.00
loop_
_atom_site_label
_atom_site_type_symbol
_atom_site_fract_x
_atom_site_fract_y
_atom_site_fract_z
Nd1 Nd 0.0000 0.0000 0.0000
Nd2 Nd 0.0000 0.3327 0.0000
Np1 Np 0.0000 0.1665 0.5000
U1 U 0.0000 0.5000 0.5000
N1 N 0.2336 0.3374 0.7125
N2 N 0.2460 0.0000 0.7135
```

Summary:
- energy (eV per atom) = -9.7651
- energy relative to the elements, uncorrected (eV/atom) = -1.3130